# ZrCr4Co GGA-PBE relaxed
# Formation energy from the elements in eV per formula unit: 1.28
# N(E_F) in states/eV/f.u.: 10.334
# E_tot in eV per atom: -8.81
# Crystal system: cubic
data_ZrCr4Co
_cell_length_a 6.868
_cell_length_b 6.868
_cell_length_c 6.868
_cell_angle_alpha 90.00
_cell_angle_beta 90.00
_cell_angle_gamma 90.00
_symmetry_space_group_name_H-M 'F -4 3 m'
_symmetry_Int_Tables_number 216
_symmetry_space_group_name_Hall 'F -4 2 3'
loop_
_atom_site_label
_atom_site_fract_x
_atom_site_fract_y
_atom_site_fract_z
Zr1 0.000 0.000 0.000
Cr1 0.126 0.126 0.374
Co1 0.250 0.250 0.750